# 1
Compound: AlFeSCl
Source: Alexandria via LeMat-Bulk
Functional: PBE
Structure: optimized geometry

a b c (Å): 3.185 3.185 23.309
angles (deg): 90.00 90.00 120.00
Last column: magnetic moment on the atom in μB.
Fractional positions:
S1 0.000 0.000 0.436  -0.01
S2 0.333 0.667 0.103  -0.01
S3 0.667 0.333 0.770  -0.01
Al1 0.000 0.000 0.542  0.00
Al2 0.333 0.667 0.208  0.00
Al3 0.667 0.333 0.875  0.00
Fe1 0.000 0.000 0.056  0.24
Fe2 0.333 0.667 0.723  0.24
Fe3 0.667 0.333 0.390  0.24
Cl1 0.000 0.000 0.649  0.00
Cl2 0.333 0.667 0.316  0.00
Cl3 0.667 0.333 0.982  0.00

Results
Energy relative to the lowest polymorph listed for this composition ... 312 meV per atom
SG ... R3m (160)
E_form (uncorrected) ... -0.2636 eV/atom
Total magnetic moment ... 0.22 μB per formula unit
E_tot ... -4.81 eV/atom

=====

# 2
Compound: AlFeSCl
Source: Alexandria via LeMat-Bulk
Functional: PBE
Structure: optimized geometry

a b c (Å): 4.078 3.505 5.541
angles (deg): 90.00 92.62 90.00
Last column: magnetic moment on the atom in μB.
Fractional positions:
S1 0.063 0.000 0.643  0.00
Al1 0.421 0.500 0.730  -0.06
Fe1 0.576 0.000 0.449  2.15
Cl1 0.574 0.500 0.128  0.02

Results
Energy relative to the lowest polymorph listed for this composition ... 141 meV per atom
SG ... Pm (6)
E_form (uncorrected) ... -0.4344 eV/atom
Total magnetic moment ... 2.04 μB per formula unit
E_tot ... -4.98 eV/atom